Here is an optimized crystal structure of KCaAg2 from the Alexandria database. Energies are from PBE.

Crystal system   trigonal
DOS(E_F)   2.74 states/eV/cell
M_tot   0.0 μB per formula unit
E_form   -56 meV/atom
Calculated density   3.42 g/cm3
Energy above the most stable polymorph in this dataset   0.32 eV/f.u.

Cell and atoms, written as extended XYZ:
```
4
Lattice="2.4243 1.3997 7.0297 -2.4243 1.3997 7.0297 0.0000 -2.7993 7.0297" Properties=species:S:1:pos:R:3 pbc="T T T"
K 0.0000 0.0000 0.0000
Ca 0.0000 0.0000 3.7692
Ag 0.0000 0.0000 9.3718
Ag 0.0000 0.0000 16.4582
```



Here is an optimized crystal structure of AlAg2P from the Alexandria database. Energies are from PBE.

Crystal system   tetragonal
DOS(E_F)   1.97 states/eV/cell
M_tot   0.0 μB per formula unit
E_form   274 meV/atom
Calculated density   6.54 g/cm3
Energy above the most stable polymorph in this dataset   0.75 eV/f.u.

Cell and atoms, written as extended XYZ:
```
4
Lattice="4.9419 0.0000 0.0000 0.0000 4.9419 0.0000 0.0000 0.0000 2.8450" Properties=species:S:1:pos:R:3 pbc="T T T"
Al 0.0000 0.0000 0.0000
Ag 0.0000 2.4709 1.4225
Ag 2.4709 0.0000 1.4225
P 2.4709 2.4709 0.0000
```